1.
VASP calculation (GGA-PBE) on NdPd5Pb2 after structural relaxation.

Summary:
Formation energy ... -44.87 kJ per mole of atoms
Final energy ... -5.2337 eV/atom

a = 4.3479 Å, b = 7.5334 Å, c = 7.5334 Å
α = 45.29°, β = 73.23°, γ = 73.23°
Last column: nearest neighbours and their distance in Å.
Positions (direct):
Nd (0.0000, 0.0000, 0.0000)  10 Pd 2.90-3.01
Pd (0.0000, 0.5000, 0.5000)  2 Pb 2.84, 2 Nd 2.90, 8 Pd 2.95
Pd (0.6086, 0.6311, 0.1517)  3 Pb 2.77-2.94, 5 Pd 2.78-3.02, 2 Nd 3.01
Pd (0.3914, 0.3689, 0.8483)  3 Pb 2.77-2.94, 5 Pd 2.78-3.02, 2 Nd 3.01
Pd (0.3914, 0.8483, 0.3689)  3 Pb 2.77-2.94, 5 Pd 2.78-3.02, 2 Nd 3.01
Pd (0.6086, 0.1517, 0.6311)  3 Pb 2.77-2.94, 5 Pd 2.78-3.02, 2 Nd 3.01
Pb (0.7847, 0.7153, 0.7153)  7 Pd 2.77-2.94
Pb (0.2153, 0.2847, 0.2847)  7 Pd 2.77-2.94

---

2.
VASP calculation (GGA-PBE) on NdPd3Pb3 after structural relaxation.

Summary:
Energy above the most stable polymorph in this dataset ... 44.6 kJ per mole of atoms
Formation energy ... 8.85 kJ per mole of atoms
Final energy ... -4.4042 eV/atom

a = 7.4581 Å, b = 7.4581 Å, c = 7.4581 Å
α = 90.00°, β = 90.00°, γ = 90.00°
Last column: nearest neighbours and their distance in Å.
Positions (direct):
Pb (0.2500, 0.0000, 0.5000)  4 Pd 2.64
Pb (0.0000, 0.5000, 0.2500)  4 Pd 2.64
Pb (0.5000, 0.7500, 0.0000)  4 Pd 2.64
Pb (0.7500, 0.0000, 0.5000)  4 Pd 2.64
Pb (0.0000, 0.5000, 0.7500)  4 Pd 2.64
Pb (0.5000, 0.2500, 0.0000)  4 Pd 2.64
Nd (0.5000, 0.5000, 0.5000)  12 Pb 4.17, 12 Pd 4.17
Nd (0.0000, 0.0000, 0.0000)  12 Pb 4.17, 12 Pd 4.17
Pd (0.0000, 0.2500, 0.5000)  4 Pb 2.64
Pd (0.0000, 0.7500, 0.5000)  4 Pb 2.64
Pd (0.5000, 0.0000, 0.7500)  4 Pb 2.64
Pd (0.7500, 0.5000, 0.0000)  4 Pb 2.64
Pd (0.5000, 0.0000, 0.2500)  4 Pb 2.64
Pd (0.2500, 0.5000, 0.0000)  4 Pb 2.64

---

3.
VASP calculation (GGA-PBE) on Nd3Pd5Pb after structural relaxation.

Summary:
Formation energy ... -43.66 kJ per mole of atoms
Final energy ... -5.3387 eV/atom

a = 8.3893 Å, b = 8.3893 Å, c = 8.4208 Å
α = 119.88°, β = 119.88°, γ = 90.00°
Last column: nearest neighbours and their distance in Å.
Positions (direct):
Nd (0.6283, 0.1283, 0.0000)  2 Pd 2.66
Nd (0.3717, 0.8717, 0.0000)  2 Pd 2.66
Nd (0.8717, 0.6283, 0.0000)  2 Pd 2.66
Nd (0.1283, 0.3717, 0.0000)  2 Pd 2.66
Nd (0.2500, 0.2500, 0.5000)  10 Pd 2.99-3.29
Nd (0.7500, 0.7500, 0.5000)  10 Pd 2.99-3.29
Pd (0.0570, 0.5570, 0.7168)  1 Nd 2.66, 1 Pb 2.69, 1 Pd 2.86
Pd (0.6598, 0.1598, 0.7168)  1 Nd 2.66, 1 Pb 2.69, 1 Pd 2.86
Pd (0.1598, 0.0570, 0.7168)  1 Nd 2.66, 1 Pb 2.69, 1 Pd 2.86
Pd (0.5570, 0.6598, 0.7168)  1 Nd 2.66, 1 Pb 2.69, 1 Pd 2.86
Pd (0.9430, 0.4430, 0.2832)  1 Nd 2.66, 1 Pb 2.69, 1 Pd 2.86
Pd (0.3402, 0.8402, 0.2832)  1 Nd 2.66, 1 Pb 2.69, 1 Pd 2.86
Pd (0.8402, 0.9430, 0.2832)  1 Nd 2.66, 1 Pb 2.69, 1 Pd 2.86
Pd (0.4430, 0.3402, 0.2832)  1 Nd 2.66, 1 Pb 2.69, 1 Pd 2.86
Pd (0.5000, 0.5000, 0.0000)  6 Nd 2.99-3.30
Pd (0.0000, 0.0000, 0.0000)  6 Nd 2.99-3.30
Pb (0.7500, 0.2500, 0.5000)  4 Pd 2.69
Pb (0.2500, 0.7500, 0.5000)  4 Pd 2.69

---

4.
VASP calculation (GGA-PBE) on Nd3Pd4Pb2 after structural relaxation.

Summary:
Formation energy ... -63.34 kJ per mole of atoms
Final energy ... -5.3778 eV/atom

a = 4.4928 Å, b = 5.4772 Å, c = 9.6619 Å
α = 89.53°, β = 90.00°, γ = 114.21°
Last column: nearest neighbours and their distance in Å.
Positions (direct):
Nd (0.3645, 0.7291, 0.6183)  6 Pd 2.92-3.25
Nd (0.0000, 0.0000, 0.0000)  6 Pd 3.07-3.13, 4 Pb 3.44
Nd (0.6355, 0.2709, 0.3817)  6 Pd 2.92-3.25
Pd (0.7020, 0.4040, 0.0824)  2 Pd 2.91, 3 Pb 2.91-2.95, 4 Nd 2.96-3.13
Pd (0.0727, 0.1454, 0.6170)  1 Pd 2.70, 2 Pb 2.90, 1 Nd 2.92
Pd (0.9273, 0.8546, 0.3830)  1 Pd 2.70, 2 Pb 2.90, 1 Nd 2.92
Pd (0.2980, 0.5960, 0.9176)  2 Pd 2.91, 3 Pb 2.91-2.95, 4 Nd 2.96-3.13
Pb (0.3418, 0.6837, 0.2151)  5 Pd 2.90-2.95
Pb (0.6582, 0.3163, 0.7849)  5 Pd 2.90-2.95

---

5.
VASP calculation (GGA-PBE) on Nd3Pd12Pb after structural relaxation.

Summary:
Formation energy ... -62.48 kJ per mole of atoms
Final energy ... -5.6680 eV/atom

a = 4.1882 Å, b = 4.1882 Å, c = 16.6579 Å
α = 90.00°, β = 90.00°, γ = 90.00°
Last column: nearest neighbours and their distance in Å.
Positions (direct):
Nd (0.0000, 0.0000, 0.2478)  12 Pd 2.96-2.99
Nd (0.0000, 0.0000, 0.5000)  12 Pd 2.96-2.97
Nd (0.0000, 0.0000, 0.7522)  12 Pd 2.96-2.99
Pd (0.5000, 0.5000, 0.0000)  8 Pd 2.89, 4 Pb 2.96
Pd (0.5000, 0.5000, 0.2449)  8 Pd 2.96-2.99, 4 Nd 2.96
Pd (0.5000, 0.5000, 0.5000)  4 Nd 2.96, 8 Pd 2.97
Pd (0.5000, 0.5000, 0.7551)  8 Pd 2.96-2.99, 4 Nd 2.96
Pd (0.5000, 0.0000, 0.1197)  2 Pb 2.89, 8 Pd 2.89-2.96, 2 Nd 2.99
Pd (0.5000, 0.0000, 0.3734)  4 Nd 2.96-2.97, 8 Pd 2.96-2.99
Pd (0.5000, 0.0000, 0.6266)  4 Nd 2.96-2.97, 8 Pd 2.96-2.99
Pd (0.5000, 0.0000, 0.8803)  2 Pb 2.89, 8 Pd 2.89-2.96, 2 Nd 2.99
Pd (0.0000, 0.5000, 0.1197)  2 Pb 2.89, 8 Pd 2.89-2.96, 2 Nd 2.99
Pd (0.0000, 0.5000, 0.3734)  4 Nd 2.96-2.97, 8 Pd 2.96-2.99
Pd (0.0000, 0.5000, 0.6266)  4 Nd 2.96-2.97, 8 Pd 2.96-2.99
Pd (0.0000, 0.5000, 0.8803)  2 Pb 2.89, 8 Pd 2.89-2.96, 2 Nd 2.99
Pb (0.0000, 0.0000, 0.0000)  12 Pd 2.89-2.96

---

6.
VASP calculation (GGA-PBE) on Nd2Pd3Pb after structural relaxation.

Summary:
Energy above the most stable polymorph in this dataset ... 0.0 kJ per mole of atoms
Formation energy ... -61.92 kJ per mole of atoms
Final energy ... -5.4455 eV/atom

a = 4.7193 Å, b = 4.7193 Å, c = 14.5092 Å
α = 90.00°, β = 90.00°, γ = 120.00°
Last column: nearest neighbours and their distance in Å.
Positions (direct):
Nd (0.0000, 0.0000, 0.6182)  9 Pd 3.15-3.33, 3 Pb 3.33, 1 Nd 3.43
Nd (0.0000, 0.0000, 0.3818)  9 Pd 3.15-3.33, 3 Pb 3.33, 1 Nd 3.43
Nd (0.0000, 0.0000, 0.1182)  9 Pd 3.15-3.33, 3 Pb 3.33, 1 Nd 3.43
Nd (0.0000, 0.0000, 0.8818)  9 Pd 3.15-3.33, 3 Pb 3.33, 1 Nd 3.43
Pd (0.6667, 0.3333, 0.2500)  3 Pb 2.72
Pd (0.3333, 0.6667, 0.7500)  3 Pb 2.72
Pd (0.6667, 0.3333, 0.5097)  3 Pd 2.74
Pd (0.3333, 0.6667, 0.4903)  3 Pd 2.74
Pd (0.3333, 0.6667, 0.0097)  3 Pd 2.74
Pd (0.6667, 0.3333, 0.9903)  3 Pd 2.74
Pb (0.6667, 0.3333, 0.7500)  3 Pd 2.72
Pb (0.3333, 0.6667, 0.2500)  3 Pd 2.72

---

7.
VASP calculation (GGA-PBE) on Nd3PdPb2 after structural relaxation.

Summary:
Formation energy ... -61.27 kJ per mole of atoms
Final energy ... -5.1205 eV/atom

a = 4.6480 Å, b = 12.1093 Å, c = 12.7080 Å
α = 90.00°, β = 90.00°, γ = 90.00°
Last column: nearest neighbours and their distance in Å.
Positions (direct):
Nd (0.2500, 0.3684, 0.0528)  1 Pd 3.07, 5 Pb 3.24-3.43
Nd (0.7500, 0.6316, 0.9472)  1 Pd 3.07, 5 Pb 3.24-3.43
Nd (0.7500, 0.8684, 0.4472)  1 Pd 3.07, 5 Pb 3.24-3.43
Nd (0.2500, 0.1316, 0.5528)  1 Pd 3.07, 5 Pb 3.24-3.43
Nd (0.2500, 0.6993, 0.2323)  2 Pd 3.09, 4 Pb 3.25-3.44
Nd (0.7500, 0.3007, 0.7677)  2 Pd 3.09, 4 Pb 3.25-3.44
Nd (0.7500, 0.1993, 0.2677)  2 Pd 3.09, 4 Pb 3.25-3.44
Nd (0.2500, 0.8007, 0.7323)  2 Pd 3.09, 4 Pb 3.25-3.44
Nd (0.2500, 0.4464, 0.3753)  3 Pd 3.18-3.28, 5 Pb 3.27-3.41, 1 Nd 3.56
Nd (0.7500, 0.5536, 0.6247)  3 Pd 3.18-3.28, 5 Pb 3.27-3.41, 1 Nd 3.56
Nd (0.7500, 0.9464, 0.1247)  3 Pd 3.18-3.28, 5 Pb 3.27-3.41, 1 Nd 3.56
Nd (0.2500, 0.0536, 0.8753)  3 Pd 3.18-3.28, 5 Pb 3.27-3.41, 1 Nd 3.56
Pd (0.2500, 0.1258, 0.1239)  3 Pb 2.90-2.91, 5 Nd 3.07-3.18
Pd (0.7500, 0.8742, 0.8761)  3 Pb 2.90-2.91, 5 Nd 3.07-3.18
Pd (0.7500, 0.6258, 0.3761)  3 Pb 2.90-2.91, 5 Nd 3.07-3.18
Pd (0.2500, 0.3742, 0.6239)  3 Pb 2.90-2.91, 5 Nd 3.07-3.18
Pb (0.2500, 0.6903, 0.4989)  2 Pd 2.91, 3 Nd 3.24-3.25
Pb (0.7500, 0.3097, 0.5011)  2 Pd 2.91, 3 Nd 3.24-3.25
Pb (0.7500, 0.1903, 0.0011)  2 Pd 2.91, 3 Nd 3.24-3.25
Pb (0.2500, 0.8097, 0.9989)  2 Pd 2.91, 3 Nd 3.24-3.25
Pb (0.2500, 0.9963, 0.3154)  1 Pd 2.90
Pb (0.7500, 0.0037, 0.6846)  1 Pd 2.90
Pb (0.7500, 0.4963, 0.1846)  1 Pd 2.90
Pb (0.2500, 0.5037, 0.8154)  1 Pd 2.90

---

8.
VASP calculation (GGA-PBE) on Nd2Pd9Pb after structural relaxation.

Summary:
Formation energy ... -58.46 kJ per mole of atoms
Final energy ... -5.6041 eV/atom

a = 4.1857 Å, b = 4.1857 Å, c = 12.4435 Å
α = 90.00°, β = 90.00°, γ = 90.00°
Last column: nearest neighbours and their distance in Å.
Positions (direct):
Nd (0.0000, 0.0000, 0.3312)  12 Pd 2.96-2.98
Nd (0.0000, 0.0000, 0.6688)  12 Pd 2.96-2.98
Pd (0.5000, 0.5000, 0.0000)  8 Pd 2.89, 4 Pb 2.96
Pd (0.5000, 0.5000, 0.3285)  8 Pd 2.96-2.99, 4 Nd 2.96
Pd (0.5000, 0.5000, 0.6715)  8 Pd 2.96-2.99, 4 Nd 2.96
Pd (0.5000, 0.0000, 0.1604)  8 Pd 2.89-2.96, 2 Pb 2.89, 2 Nd 2.98
Pd (0.5000, 0.0000, 0.5000)  8 Pd 2.96-2.99, 4 Nd 2.97
Pd (0.5000, 0.0000, 0.8396)  8 Pd 2.89-2.96, 2 Pb 2.89, 2 Nd 2.98
Pd (0.0000, 0.5000, 0.1604)  2 Pb 2.89, 8 Pd 2.89-2.96, 2 Nd 2.98
Pd (0.0000, 0.5000, 0.5000)  8 Pd 2.96-2.99, 4 Nd 2.97
Pd (0.0000, 0.5000, 0.8396)  2 Pb 2.89, 8 Pd 2.89-2.96, 2 Nd 2.98
Pb (0.0000, 0.0000, 0.0000)  12 Pd 2.89-2.96